No. 1
Compound: NaTbHg3Te4
Source: the Open Quantum Materials Database
Functional: PBE
Structure: optimized geometry

**Polymorph energy (0 for the lowest one)**: 0.000 eV/atom

a = 7.136 Å, b = 7.136 Å, c = 7.136 Å
α = 90.00°, β = 90.00°, γ = 90.00°
Space group P-43m (No. 215)
Inequivalent atoms, fractional coordinates:
Na  0.000  0.000  0.000 (multiplicity 1)
Tb  0.500  0.500  0.500 (multiplicity 1)
Hg  0.000  0.500  0.500 (multiplicity 3)
Te  0.261  0.261  0.261 (multiplicity 4)

---

No. 2
Compound: Na2Hg2Te3
Source: the Open Quantum Materials Database
Functional: PBE
Structure: optimized geometry

**Polymorph energy (0 for the lowest one)**: 0.000 eV/atom

a = 6.4461 Å, b = 6.4461 Å, c = 17.8757 Å
α = 90.00°, β = 90.00°, γ = 120.00°
Space group R-3m (No. 166, hexagonal axes)
Inequivalent atoms, fractional coordinates:
Na  0.0000  0.0000  0.0000 (multiplicity 3)
Na  0.0000  0.0000  0.5000 (multiplicity 3)
Hg  0.0000  0.0000  0.1688 (multiplicity 6)
Te  0.0000  0.5000  0.0000 (multiplicity 9)

---

No. 3
Compound: Na2Hg2Te3
Source: the Open Quantum Materials Database
Functional: PBE
Structure: optimized geometry

**Polymorph energy (0 for the lowest one)**: 0.020 eV/atom

a = 9.256 Å, b = 9.256 Å, c = 9.256 Å
α = 90.00°, β = 90.00°, γ = 90.00°
Space group I2_13 (No. 199)
Inequivalent atoms, fractional coordinates:
Na  0.078  0.078  0.078 (multiplicity 8)
Hg  0.178  0.322  0.678 (multiplicity 8)
Te  0.000  0.250  0.377 (multiplicity 12)

---

No. 4
Compound: NaHgTe
Source: the Open Quantum Materials Database
Functional: PBE
Structure: optimized geometry

**Polymorph energy (0 for the lowest one)**: 0.086 eV/atom

a = 7.108 Å, b = 7.108 Å, c = 7.108 Å
α = 90.00°, β = 90.00°, γ = 90.00°
Space group F-43m (No. 216)
Inequivalent atoms, fractional coordinates:
Na  0.000  0.000  0.000 (multiplicity 4)
Hg  0.250  0.250  0.750 (multiplicity 4)
Te  0.250  0.250  0.250 (multiplicity 4)

---

No. 5
Compound: NaHgTe
Source: the Open Quantum Materials Database
Functional: PBE
Structure: optimized geometry

**Polymorph energy (0 for the lowest one)**: 0.000 eV/atom

a = 7.366 Å, b = 7.366 Å, c = 7.366 Å
α = 90.00°, β = 90.00°, γ = 90.00°
Space group F-43m (No. 216)
Inequivalent atoms, fractional coordinates:
Na  0.000  0.000  0.000 (multiplicity 4)
Hg  0.000  0.000  0.500 (multiplicity 4)
Te  0.250  0.250  0.750 (multiplicity 4)

---

No. 6
Compound: NaHg3Te4W
Source: the Open Quantum Materials Database
Functional: PBE
Structure: optimized geometry

**Total energy**: -26.47 eV per formula unit

a = 7.623 Å, b = 7.623 Å, c = 7.623 Å
α = 90.00°, β = 90.00°, γ = 90.00°
Space group P-43m (No. 215)
Inequivalent atoms, fractional coordinates:
Na  0.000  0.000  0.000 (multiplicity 1)
Hg  0.000  0.500  0.500 (multiplicity 3)
Te  0.305  0.305  0.305 (multiplicity 4)
W  0.500  0.500  0.500 (multiplicity 1)

---

No. 7
Compound: NaThHg
Source: the Open Quantum Materials Database
Functional: PBE
Structure: optimized geometry

**Polymorph energy (0 for the lowest one)**: 0.406 eV/atom

a = 7.292 Å, b = 7.292 Å, c = 7.292 Å
α = 90.00°, β = 90.00°, γ = 90.00°
Space group F-43m (No. 216)
Inequivalent atoms, fractional coordinates:
Na  0.000  0.000  0.000 (multiplicity 4)
Th  0.250  0.250  0.750 (multiplicity 4)
Hg  0.000  0.000  0.500 (multiplicity 4)

---

No. 8
Compound: NaThHg
Source: the Open Quantum Materials Database
Functional: PBE
Structure: optimized geometry

**Polymorph energy (0 for the lowest one)**: 0.000 eV/atom

a = 7.185 Å, b = 7.185 Å, c = 7.185 Å
α = 90.00°, β = 90.00°, γ = 90.00°
Space group F-43m (No. 216)
Inequivalent atoms, fractional coordinates:
Na  0.000  0.000  0.000 (multiplicity 4)
Th  0.000  0.000  0.500 (multiplicity 4)
Hg  0.250  0.250  0.250 (multiplicity 4)